(1)
First-principles (PBE-GGA) data for a relaxed Tl2AuI5 crystal, as listed in the Alexandria database.

Values from the calculation:
Total moment, μB/cell: 0.0
Uncorrected formation energy, eV/atom: -0.331
Crystal system: monoclinic
DOS at the Fermi energy, states/eV/cell: 0.53
V, Å³/f.u.: 331.0

a b c (Å): 8.966 12.152 7.550
angles (deg): 90.00 126.40 90.00
Space group Cm (No. 8)
Inequivalent atoms, fractional coordinates:
Tl: 0.000 0.250 0.000 (multiplicity 4)
Au: 0.496 0.000 0.501 (multiplicity 2)
I: 0.015 0.277 0.501 (multiplicity 4)
I: 0.105 0.000 0.501 (multiplicity 2)
I: 0.238 0.500 0.947 (multiplicity 2)
I: 0.292 0.000 0.055 (multiplicity 2)

(2)
First-principles (PBE-GGA) data for a relaxed TlAu2I6 crystal, as listed in the Alexandria database.

Values from the calculation:
Total moment, μB/cell: 0.0
Uncorrected formation energy, eV/atom: -0.106
Crystal system: monoclinic
DOS at the Fermi energy, states/eV/cell: 5.68
V, Å³/f.u.: 481.8

a b c (Å): 15.519 15.922 8.668
angles (deg): 90.00 115.88 90.00
Space group C2/c (No. 15)
Inequivalent atoms, fractional coordinates:
Tl: 0.000 0.174 0.250 (multiplicity 4)
Au: 0.219 0.465 0.550 (multiplicity 8)
I: 0.105 0.487 0.228 (multiplicity 8)
I: 0.111 0.252 0.560 (multiplicity 8)
I: 0.126 0.063 0.162 (multiplicity 8)

(3)
First-principles (PBE-GGA) data for a relaxed Tl2AuI3 crystal, as listed in the Alexandria database.

Values from the calculation:
Total moment, μB/cell: 0.0
Uncorrected formation energy, eV/atom: -0.406
Crystal system: monoclinic
DOS at the Fermi energy, states/eV/cell: 0.00
V, Å³/f.u.: 254.5

a b c (Å): 15.650 7.219 10.055
angles (deg): 90.00 116.36 90.00
Space group C2/c (No. 15)
Inequivalent atoms, fractional coordinates:
Tl: 0.164 0.006 0.097 (multiplicity 8)
Au: 0.000 0.498 0.250 (multiplicity 4)
I: 0.000 0.000 0.250 (multiplicity 4)
I: 0.149 0.498 0.511 (multiplicity 8)

(4)
First-principles (PBE-GGA) data for a relaxed Tl2AuI crystal, as listed in the Alexandria database.

Values from the calculation:
Total moment, μB/cell: 0.0
Uncorrected formation energy, eV/atom: -0.157
Crystal system: tetragonal
DOS at the Fermi energy, states/eV/cell: 0.39
V, Å³/f.u.: 129.4

a b c (Å): 5.669 5.669 4.027
angles (deg): 90.00 90.00 90.00
Space group P4/mmm (No. 123)
Inequivalent atoms, fractional coordinates:
Tl: 0.000 0.500 0.000 (multiplicity 2)
Au: 0.000 0.000 0.500 (multiplicity 1)
I: 0.500 0.500 0.500 (multiplicity 1)

(5)
First-principles (PBE-GGA) data for a relaxed Tl3AuI4 crystal, as listed in the Alexandria database.

Values from the calculation:
Total moment, μB/cell: 0.0
Uncorrected formation energy, eV/atom: -0.457
Crystal system: orthorhombic
DOS at the Fermi energy, states/eV/cell: 0.00
V, Å³/f.u.: 414.2

a b c (Å): 7.119 9.487 12.265
angles (deg): 90.00 90.00 90.00
Space group Pmmn (No. 59, origin choice 2)
Inequivalent atoms, fractional coordinates:
Tl: 0.250 0.011 0.168 (multiplicity 4)
Tl: 0.250 0.750 0.607 (multiplicity 2)
Au: 0.250 0.250 0.846 (multiplicity 2)
I: 0.250 0.250 0.366 (multiplicity 2)
I: 0.250 0.523 0.852 (multiplicity 4)
I: 0.250 0.750 0.340 (multiplicity 2)

(6)
First-principles (PBE-GGA) data for a relaxed Tl6Au3I14 crystal, as listed in the Alexandria database.

Values from the calculation:
Total moment, μB/cell: 0.0
Uncorrected formation energy, eV/atom: -0.294
Crystal system: trigonal
DOS at the Fermi energy, states/eV/cell: 18.25
V, Å³/f.u.: 1037.3

a b c (Å): 12.4851 12.4851 7.6842
angles (deg): 90.00 90.00 120.00
Space group P3 (No. 143)
Inequivalent atoms, fractional coordinates:
Tl: 0.0572 0.5550 0.0000 (multiplicity 3)
Tl: 0.3099 0.0713 0.4959 (multiplicity 3)
Au: 0.0000 0.0000 0.1007 (multiplicity 1)
Au: 0.3333 0.6667 0.4133 (multiplicity 1)
Au: 0.6667 0.3333 0.3621 (multiplicity 1)
I: 0.0000 0.0000 0.4509 (multiplicity 1)
I: 0.1929 0.4305 0.2624 (multiplicity 3)
I: 0.2227 0.0835 0.9170 (multiplicity 3)
I: 0.3333 0.6667 0.7743 (multiplicity 1)
I: 0.4662 0.2184 0.1266 (multiplicity 3)
I: 0.5161 0.4027 0.5683 (multiplicity 3)

Copy entry 1 word for word.
First-principles (PBE-GGA) data for a relaxed Tl2AuI5 crystal, as listed in the Alexandria database.

Values from the calculation:
Total moment, μB/cell: 0.0
Uncorrected formation energy, eV/atom: -0.331
Crystal system: monoclinic
DOS at the Fermi energy, states/eV/cell: 0.53
V, Å³/f.u.: 331.0

a b c (Å): 8.966 12.152 7.550
angles (deg): 90.00 126.40 90.00
Space group Cm (No. 8)
Inequivalent atoms, fractional coordinates:
Tl: 0.000 0.250 0.000 (multiplicity 4)
Au: 0.496 0.000 0.501 (multiplicity 2)
I: 0.015 0.277 0.501 (multiplicity 4)
I: 0.105 0.000 0.501 (multiplicity 2)
I: 0.238 0.500 0.947 (multiplicity 2)
I: 0.292 0.000 0.055 (multiplicity 2)

Which of these has the highest DOS at the Fermi energy? Tl6Au3I14

Among the records above, which one has the lowest uncorrected formation energy? Tl3AuI4

Please write out number 6 again, unchanged.
First-principles (PBE-GGA) data for a relaxed Tl6Au3I14 crystal, as listed in the Alexandria database.

Values from the calculation:
Total moment, μB/cell: 0.0
Uncorrected formation energy, eV/atom: -0.294
Crystal system: trigonal
DOS at the Fermi energy, states/eV/cell: 18.25
V, Å³/f.u.: 1037.3

a b c (Å): 12.4851 12.4851 7.6842
angles (deg): 90.00 90.00 120.00
Space group P3 (No. 143)
Inequivalent atoms, fractional coordinates:
Tl: 0.0572 0.5550 0.0000 (multiplicity 3)
Tl: 0.3099 0.0713 0.4959 (multiplicity 3)
Au: 0.0000 0.0000 0.1007 (multiplicity 1)
Au: 0.3333 0.6667 0.4133 (multiplicity 1)
Au: 0.6667 0.3333 0.3621 (multiplicity 1)
I: 0.0000 0.0000 0.4509 (multiplicity 1)
I: 0.1929 0.4305 0.2624 (multiplicity 3)
I: 0.2227 0.0835 0.9170 (multiplicity 3)
I: 0.3333 0.6667 0.7743 (multiplicity 1)
I: 0.4662 0.2184 0.1266 (multiplicity 3)
I: 0.5161 0.4027 0.5683 (multiplicity 3)